AlMoPO2 GGA+U optimized geometry; final energy = -6.01 eV per atom; ΔE to the lowest computed polymorph = 0.0 kJ per mole of atoms
1.0
3.5641 0.0000 0.0000
0.0000 3.5641 0.0000
0.0000 0.0000 5.7894
Al Mo P O
1 1 1 2
direct
0.0000 0.0000 0.0000
0.5000 0.5000 0.5000
0.0000 0.0000 0.5000
0.0000 0.5000 0.0000
0.5000 0.0000 0.0000